# PBE NaPtS2Br, optimized geometry
# ρ   4.77 Mg/m³
# DFT total energy   -2.76 eV/atom
data_NaPtS2Br
_cell_length_a 5.1553
_cell_length_b 5.1553
_cell_length_c 4.7443
_cell_angle_alpha 90.00
_cell_angle_beta 90.00
_cell_angle_gamma 90.00
_symmetry_space_group_name_H-M 'P 4/m m m'
_symmetry_Int_Tables_number 123
_symmetry_space_group_name_Hall '-P 4 2'
loop_
_atom_site_label
_atom_site_type_symbol
_atom_site_fract_x
_atom_site_fract_y
_atom_site_fract_z
Na1 Na 0.0000 0.0000 0.0000
Pt1 Pt 0.5000 0.5000 0.0000
S1 S 0.0000 0.5000 0.5000
Br1 Br 0.5000 0.5000 0.5000

# PBE TlSiAu2, optimized geometry
# Relative energy among the computed polymorphs   345 meV per atom
# ρ   12.83 Mg/m³
# DFT total energy   -3.27 eV/atom
data_TlSiAu2
_cell_length_a 4.6136
_cell_length_b 4.6136
_cell_length_c 3.8093
_cell_angle_alpha 90.00
_cell_angle_beta 90.00
_cell_angle_gamma 90.00
_symmetry_space_group_name_H-M 'P 4/m m m'
_symmetry_Int_Tables_number 123
_symmetry_space_group_name_Hall '-P 4 2'
loop_
_atom_site_label
_atom_site_type_symbol
_atom_site_fract_x
_atom_site_fract_y
_atom_site_fract_z
Tl1 Tl 0.0000 0.0000 0.0000
Si1 Si 0.5000 0.5000 0.0000
Au1 Au 0.0000 0.5000 0.5000

# PBE Pr4TePb2, optimized geometry
# Relative energy among the computed polymorphs   199 meV per atom
# ρ   7.78 Mg/m³
# DFT total energy   -4.84 eV/atom
data_Pr4TePb2
_cell_length_a 6.8798
_cell_length_b 6.6259
_cell_length_c 10.7904
_cell_angle_alpha 90.00
_cell_angle_beta 106.38
_cell_angle_gamma 90.00
_symmetry_space_group_name_H-M 'P 1 21/m 1'
_symmetry_Int_Tables_number 11
_symmetry_space_group_name_Hall '-P 2yb'
loop_
_atom_site_label
_atom_site_type_symbol
_atom_site_fract_x
_atom_site_fract_y
_atom_site_fract_z
Pr1 Pr 0.0200 0.0060 0.2710
Pr2 Pr 0.3833 0.7500 0.5517
Pr3 Pr 0.4612 0.7500 0.1426
Te1 Te 0.4050 0.7500 0.8420
Pb1 Pb 0.0822 0.2500 0.0058
Pb2 Pb 0.2175 0.2500 0.5528

# PBE RhAuI2N, optimized geometry
# Relative energy among the computed polymorphs   747 meV per atom
# ρ   7.23 Mg/m³
# DFT total energy   -3.09 eV/atom
data_RhAuI2N
_cell_length_a 5.8873
_cell_length_b 5.8873
_cell_length_c 3.7638
_cell_angle_alpha 90.00
_cell_angle_beta 90.00
_cell_angle_gamma 90.00
_symmetry_space_group_name_H-M 'P 4/m m m'
_symmetry_Int_Tables_number 123
_symmetry_space_group_name_Hall '-P 4 2'
loop_
_atom_site_label
_atom_site_type_symbol
_atom_site_fract_x
_atom_site_fract_y
_atom_site_fract_z
Rh1 Rh 0.0000 0.0000 0.0000
Au1 Au 0.5000 0.5000 0.5000
I1 I 0.0000 0.5000 0.5000
N1 N 0.5000 0.5000 0.0000

# PBE LaCo2Pb, optimized geometry
# ρ   9.51 Mg/m³
# DFT total energy   -5.57 eV/atom
data_LaCo2Pb
_cell_length_a 3.2845
_cell_length_b 3.2845
_cell_length_c 7.5117
_cell_angle_alpha 90.00
_cell_angle_beta 90.00
_cell_angle_gamma 90.00
_symmetry_space_group_name_H-M 'P 4 m m'
_symmetry_Int_Tables_number 99
_symmetry_space_group_name_Hall 'P 4 -2'
loop_
_atom_site_label
_atom_site_type_symbol
_atom_site_fract_x
_atom_site_fract_y
_atom_site_fract_z
La1 La 0.0000 0.0000 0.0000
Co1 Co 0.0000 0.0000 0.6160
Co2 Co 0.5000 0.5000 0.7417
Pb1 Pb 0.5000 0.5000 0.3755

# PBE AcYSnBi, optimized geometry
# ρ   8.30 Mg/m³
# DFT total energy   -5.19 eV/atom
data_AcYSnBi
_cell_length_a 8.0160
_cell_length_b 8.0160
_cell_length_c 8.0160
_cell_angle_alpha 90.00
_cell_angle_beta 90.00
_cell_angle_gamma 90.00
_symmetry_space_group_name_H-M 'F -4 3 m'
_symmetry_Int_Tables_number 216
_symmetry_space_group_name_Hall 'F -4 2 3'
loop_
_atom_site_label
_atom_site_type_symbol
_atom_site_fract_x
_atom_site_fract_y
_atom_site_fract_z
Ac1 Ac 0.0000 0.0000 0.0000
Y1 Y 0.0000 0.0000 0.5000
Sn1 Sn 0.2500 0.2500 0.2500
Bi1 Bi 0.2500 0.2500 0.7500

# PBE Ti2VS, optimized geometry
# ρ   4.32 Mg/m³
# DFT total energy   -7.49 eV/atom
data_Ti2VS
_cell_length_a 4.7650
_cell_length_b 14.2534
_cell_length_c 4.6184
_cell_angle_alpha 90.00
_cell_angle_beta 118.79
_cell_angle_gamma 90.00
_symmetry_space_group_name_H-M 'C 1 2/c 1'
_symmetry_Int_Tables_number 15
_symmetry_space_group_name_Hall '-C 2yc'
loop_
_atom_site_label
_atom_site_type_symbol
_atom_site_fract_x
_atom_site_fract_y
_atom_site_fract_z
Ti1 Ti 0.2133 0.0613 0.0811
V1 V 0.0000 0.3647 0.2500
S1 S 0.0000 0.1903 0.2500

# PBE Ti2InSb2, optimized geometry
# Relative energy among the computed polymorphs   0 meV per atom
# ρ   7.07 Mg/m³
# DFT total energy   -5.64 eV/atom
data_Ti2InSb2
_cell_length_a 7.5827
_cell_length_b 7.5827
_cell_length_c 3.7117
_cell_angle_alpha 90.00
_cell_angle_beta 90.00
_cell_angle_gamma 90.00
_symmetry_space_group_name_H-M 'P 4/m b m'
_symmetry_Int_Tables_number 127
_symmetry_space_group_name_Hall '-P 4 2ab'
loop_
_atom_site_label
_atom_site_type_symbol
_atom_site_fract_x
_atom_site_fract_y
_atom_site_fract_z
Ti1 Ti 0.1397 0.3603 0.0000
In1 In 0.0000 0.0000 0.0000
Sb1 Sb 0.1542 0.6542 0.5000

Repeat the second record exactly.
# PBE TlSiAu2, optimized geometry
# Relative energy among the computed polymorphs   345 meV per atom
# ρ   12.83 Mg/m³
# DFT total energy   -3.27 eV/atom
data_TlSiAu2
_cell_length_a 4.6136
_cell_length_b 4.6136
_cell_length_c 3.8093
_cell_angle_alpha 90.00
_cell_angle_beta 90.00
_cell_angle_gamma 90.00
_symmetry_space_group_name_H-M 'P 4/m m m'
_symmetry_Int_Tables_number 123
_symmetry_space_group_name_Hall '-P 4 2'
loop_
_atom_site_label
_atom_site_type_symbol
_atom_site_fract_x
_atom_site_fract_y
_atom_site_fract_z
Tl1 Tl 0.0000 0.0000 0.0000
Si1 Si 0.5000 0.5000 0.0000
Au1 Au 0.0000 0.5000 0.5000

Copy entry 2 word for word.
# PBE TlSiAu2, optimized geometry
# Relative energy among the computed polymorphs   345 meV per atom
# ρ   12.83 Mg/m³
# DFT total energy   -3.27 eV/atom
data_TlSiAu2
_cell_length_a 4.6136
_cell_length_b 4.6136
_cell_length_c 3.8093
_cell_angle_alpha 90.00
_cell_angle_beta 90.00
_cell_angle_gamma 90.00
_symmetry_space_group_name_H-M 'P 4/m m m'
_symmetry_Int_Tables_number 123
_symmetry_space_group_name_Hall '-P 4 2'
loop_
_atom_site_label
_atom_site_type_symbol
_atom_site_fract_x
_atom_site_fract_y
_atom_site_fract_z
Tl1 Tl 0.0000 0.0000 0.0000
Si1 Si 0.5000 0.5000 0.0000
Au1 Au 0.0000 0.5000 0.5000

Question: What is the ρ in the fourth record?
Answer: 7.23 Mg/m³